(1)
A plane-wave DFT calculation with PBE-GGA was carried out for a geometry-optimized CdWBr structure.

```
3
Lattice="4.538 0.000 0.000 2.269 3.930 0.000 2.269 1.310 3.705" Properties=species:S:1:pos:R:3 pbc="T T T"
Br 6.807 3.930 2.779
W 4.538 2.620 1.853
Cd 0.000 0.000 0.000
```

Computed properties:
Density of states at the Fermi level in states/eV/cell: 2.5
Distance to the lowest polymorph of the same formula in eV/atom: 1.291

=====

(2)
A plane-wave DFT calculation with PBE-GGA was carried out for a geometry-optimized NaPr3Ho2Se6 structure.

```
12
Lattice="-5.692 4.298 -0.943 1.494 -2.625 6.530 5.361 4.969 -0.551" Properties=species:S:1:pos:R:3 pbc="T T T"
Pr 0.581 3.321 2.518
Se -0.278 6.226 2.524
Se 3.046 4.264 1.022
Se -0.985 2.754 -0.012
Pr 3.011 0.980 5.045
Ho -3.290 1.984 1.555
Se 1.440 0.417 2.511
Se -1.883 2.378 4.014
Se 2.148 3.889 5.047
Na 0.000 0.000 0.000
Ho -0.908 -0.311 4.032
Pr -1.849 5.662 -0.009
```

Computed properties:
Density of states at the Fermi level in states/eV/cell: 5.1
E in eV/atom: -5.575

=====

(3)
A plane-wave DFT calculation with PBE-GGA was carried out for a geometry-optimized Tb2Ga3Ge3 structure.

```
8
Lattice="-1.690 -2.637 -2.882 3.541 -2.640 0.339 -3.815 -4.321 6.192" Properties=species:S:1:pos:R:3 pbc="T T T"
Ga -1.964 -5.912 3.418
Ge -0.845 -1.318 -1.441
Tb -0.961 -1.088 1.559
Tb -2.854 -3.233 4.633
Ge -0.137 -3.481 3.265
Ga 1.771 -1.320 0.170
Ge -2.752 -3.479 1.655
Ga 0.000 -3.687 0.231
```

Computed properties:
Density of states at the Fermi level in states/eV/cell: 3.2
Energy relative to the elements in eV/f.u.: -3.87

=====

(4)
A plane-wave DFT calculation with PBE-GGA was carried out for a geometry-optimized Zn2CuAs structure.

```
4
Lattice="4.856 -0.036 -0.024 1.691 4.552 0.024 -3.261 -2.277 2.787" Properties=species:S:1:pos:R:3 pbc="T T T"
Zn 2.434 -0.028 1.382
As 3.272 2.257 0.000
Cu 0.853 2.267 1.405
Zn 0.002 0.001 0.000
```

Computed properties:
Density of states at the Fermi level in states/eV/cell: 1.2
Energy relative to the elements in eV/f.u.: 0.43